# Al2Ga2Cu

A relaxed structure of Al2Ga2Cu (PBE, the Alexandria database).

The structure in POSCAR format:
```
Al2Ga2Cu
1.0
6.537 0.000 0.000
0.000 6.537 0.000
0.000 0.000 4.056
Al Ga Cu
4 4 2
Direct
0.148 0.352 0.000
0.352 0.852 0.000
0.648 0.148 0.000
0.852 0.648 0.000
0.161 0.661 0.500
0.339 0.161 0.500
0.661 0.839 0.500
0.839 0.339 0.500
0.000 0.000 0.000
0.500 0.500 0.000
```

Results
**Formation energy**: 0.094 eV per atom
**Calculated density**: 4.92 g/cm³